1.
MnAgN3 | PBE | relaxed

extended XYZ file:
```
5
Lattice="-1.031 3.106 -2.188 -3.776 -1.087 0.235 -0.419 2.161 3.264" Properties=species:S:1:pos:R:3 pbc="T T T"
N -0.515 1.553 -1.094
N -1.888 -0.544 0.118
N -0.209 1.080 1.632
Ag 0.000 0.000 0.000
Mn -2.613 2.089 0.655
```

## Properties
The crystal system is cubic. As for the density of states at the Fermi level: 5.01 states/eV per cell. Its uncorrected formation energy is 2.893 eV per atom.



2.
MnAg2N | PBE | relaxed

extended XYZ file:
```
8
Lattice="-8.058 1.764 2.494 -2.362 -8.060 -1.931 -4.803 -3.672 1.968" Properties=species:S:1:pos:R:3 pbc="T T T"
Ag -12.420 -7.242 2.214
Ag -5.512 -1.046 1.494
Ag -7.809 -6.136 1.443
Ag -4.705 -5.512 -0.087
N -6.187 -7.440 0.159
N -5.210 -3.148 0.282
Mn -9.036 -2.528 2.372
Mn 0.000 0.000 0.000
```

## Properties
The crystal system is tetragonal. As for the density of states at the Fermi level: 4.54 states/eV per cell. Its uncorrected formation energy is 0.502 eV per atom.



3.
MnAgN2 | PBE | relaxed

extended XYZ file:
```
4
Lattice="3.551 0.729 1.474 0.661 -0.459 3.830 2.239 -2.952 1.259" Properties=species:S:1:pos:R:3 pbc="T T T"
Mn 0.000 0.000 0.000
N 1.613 -0.671 1.641
N 4.838 -2.012 4.922
Ag 3.226 -1.342 3.282
```

## Properties
The crystal system is cubic. As for the density of states at the Fermi level: 1.97 states/eV per cell. Its uncorrected formation energy is 1.261 eV per atom. The offset from the most stable computed form is 385.2 kJ/mol of formula units.



4.
MnAg3N | PBE | relaxed

extended XYZ file:
```
5
Lattice="-2.328 3.276 -3.074 0.430 -3.284 -3.826 -4.472 -2.021 1.233" Properties=species:S:1:pos:R:3 pbc="T T T"
Ag -1.164 1.638 -1.537
Ag 0.215 -1.642 -1.913
Ag -2.236 -1.011 0.616
Mn 0.000 0.000 0.000
N -3.185 -1.015 -2.834
```

## Properties
The crystal system is cubic. As for the density of states at the Fermi level: 3.48 states/eV per cell. Its uncorrected formation energy is 1.901 eV per atom. The offset from the most stable computed form is 512.6 kJ/mol of formula units.



5.
MnAgN2 | PBE | relaxed

extended XYZ file:
```
8
Lattice="-2.687 3.822 1.299 -3.978 -2.771 -0.074 -2.733 -0.445 4.705" Properties=species:S:1:pos:R:3 pbc="T T T"
N -3.765 -0.997 1.418
N -4.933 -0.207 3.981
N -7.497 0.853 4.608
N -2.600 1.562 1.854
Ag -4.376 1.951 3.308
Ag 0.000 0.000 0.000
Mn -5.022 -1.345 2.622
Mn -3.332 0.525 0.613
```

## Properties
The crystal system is tetragonal. As for the density of states at the Fermi level: 5.49 states/eV per cell. Its uncorrected formation energy is 0.263 eV per atom. The offset from the most stable computed form is 0.0 kJ/mol of formula units.



6.
Mn2AgN | PBE | relaxed

extended XYZ file:
```
8
Lattice="-0.014 -3.514 -4.853 5.174 -2.454 1.763 1.056 -5.097 -0.011" Properties=species:S:1:pos:R:3 pbc="T T T"
Mn 0.904 -3.336 -2.206
Mn 3.377 -6.369 -0.946
Mn 3.495 -3.689 -0.117
Mn 4.658 -8.737 -2.934
Ag 1.811 -5.798 -3.205
Ag 0.000 0.000 0.000
N 4.405 -5.268 0.103
N 2.580 -2.984 -1.545
```

## Properties
The crystal system is tetragonal. As for the density of states at the Fermi level: 7.19 states/eV per cell. Its uncorrected formation energy is 0.158 eV per atom.



7.
MnAgN2 | PBE | relaxed

extended XYZ file:
```
4
Lattice="1.673 0.000 6.280 -0.837 1.449 6.280 -0.837 -1.449 6.280" Properties=species:S:1:pos:R:3 pbc="T T T"
N 0.000 0.000 16.734
N 0.000 0.000 2.106
Ag 0.000 0.000 0.000
Mn 0.000 0.000 9.420
```

## Properties
The crystal system is trigonal. As for the density of states at the Fermi level: 1.79 states/eV per cell. Its uncorrected formation energy is 0.327 eV per atom. The offset from the most stable computed form is 24.6 kJ/mol of formula units.



8.
MnAg3N | PBE | relaxed

extended XYZ file:
```
5
Lattice="-4.216 0.687 1.025 0.388 -2.727 3.422 1.172 3.375 2.556" Properties=species:S:1:pos:R:3 pbc="T T T"
N 0.000 0.000 0.000
Mn -1.328 0.668 3.502
Ag -2.108 0.343 0.513
Ag 0.586 1.688 1.278
Ag 0.194 -1.363 1.711
```

## Properties
The crystal system is cubic. As for the density of states at the Fermi level: 3.48 states/eV per cell. Its uncorrected formation energy is 0.839 eV per atom. The offset from the most stable computed form is 0.0 kJ/mol of formula units.



9.
MnAgN2 | PBE | relaxed

extended XYZ file:
```
4
Lattice="1.761 0.000 6.226 -0.881 1.525 6.226 -0.881 -1.525 6.226" Properties=species:S:1:pos:R:3 pbc="T T T"
Mn 0.000 0.000 0.000
Ag 0.000 0.000 9.339
N 0.000 0.000 16.960
N 0.000 0.000 1.718
```

## Properties
The crystal system is trigonal. As for the density of states at the Fermi level: 4.00 states/eV per cell. Its uncorrected formation energy is 1.296 eV per atom. The offset from the most stable computed form is 398.6 kJ/mol of formula units.



10.
MnAgN3 | PBE | relaxed

extended XYZ file:
```
5
Lattice="-2.445 -2.347 -1.518 -0.427 -1.679 3.285 -2.763 2.337 0.835" Properties=species:S:1:pos:R:3 pbc="T T T"
Mn 0.000 0.000 0.000
N -1.381 1.168 0.418
N -0.214 -0.840 1.642
N -1.222 -1.174 -0.759
Ag -2.817 -0.845 1.301
```

## Properties
The crystal system is cubic. As for the density of states at the Fermi level: 4.93 states/eV per cell. Its uncorrected formation energy is 1.191 eV per atom.



11.
Mn2NiAgN | PBE | relaxed

extended XYZ file:
```
5
Lattice="-3.267 -0.222 -2.292 -2.283 -0.212 3.274 -0.293 3.849 0.045" Properties=species:S:1:pos:R:3 pbc="T T T"
N 0.000 0.000 0.000
Mn -1.141 -0.106 1.637
Mn -1.633 -0.111 -1.146
Ag -2.921 1.707 0.513
Ni -0.146 1.924 0.023
```

## Properties
The crystal system is tetragonal. As for the density of states at the Fermi level: 2.97 states/eV per cell. Its uncorrected formation energy is -0.069 eV per atom. The offset from the most stable computed form is 0.0 kJ/mol of formula units.



12.
Mn2NiAgN | PBE | relaxed

extended XYZ file:
```
5
Lattice="-2.488 -3.019 -3.032 2.854 -3.439 1.081 -2.978 -1.297 3.735" Properties=species:S:1:pos:R:3 pbc="T T T"
N -1.306 -3.877 0.892
Mn -1.489 -0.648 1.867
Mn -1.244 -1.509 -1.516
Ag 0.000 0.000 0.000
Ni 1.427 -1.719 0.541
```

## Properties
The crystal system is tetragonal. As for the density of states at the Fermi level: 4.74 states/eV per cell. Its uncorrected formation energy is 2.153 eV per atom. The offset from the most stable computed form is 1072.0 kJ/mol of formula units.